1.
First-principles (PBE-GGA) data for SrInW2 after structural relaxation, as listed in Alexandria via LeMat-Bulk.

Summary:
The value obtained for the calculated formation energy is 0.9354 eV/atom. As for the space-group type: P4/mmm (123). For the total DFT energy (no corrections), the calculation gives -6.65 eV per atom. Its magnetic moment is 0.00 Bohr magnetons per cell. The value obtained for the density of states at the Fermi level is 2.93 states/eV/f.u.

Structure (extended XYZ):
```
4
Lattice="-1.8576 1.6983 2.6883 -3.1053 -0.2907 -1.9621 -1.3289 -6.2478 3.0288" Properties=species:S:1:pos:R:3 pbc="T T T"
Sr -3.4781 -3.9820 2.6347
W -0.5527 -2.5988 1.2598
W -0.1117 -0.5251 0.2546
In -2.8137 -0.8581 1.1203
```

2.
First-principles (PBE-GGA) data for Sr2InW after structural relaxation, as listed in Alexandria via LeMat-Bulk.

Summary:
The value obtained for the calculated formation energy is 0.8155 eV/atom. As for the space-group type: P2/m (10). For the total DFT energy (no corrections), the calculation gives -3.95 eV per atom. Its magnetic moment is 1.05 Bohr magnetons per cell. The value obtained for the density of states at the Fermi level is 4.79 states/eV/f.u.

Structure (extended XYZ):
```
4
Lattice="4.9972 0.0000 0.0000 0.0000 3.2100 0.0066 0.0000 3.2046 6.9295" Properties=species:S:1:pos:R:3 pbc="T T T"
Sr 0.0000 3.2045 3.4039
Sr 0.0000 3.2128 0.0708
In 2.4986 4.8110 5.2021
W 2.4986 1.6037 1.7340
```

3.
First-principles (PBE-GGA) data for SrIn4W after structural relaxation, as listed in Alexandria via LeMat-Bulk.

Summary:
The value obtained for the calculated formation energy is 0.4925 eV/atom. As for the space-group type: F-43m (216). For the total DFT energy (no corrections), the calculation gives -3.77 eV per atom. Its magnetic moment is 0.00 Bohr magnetons per cell. The value obtained for the density of states at the Fermi level is 0.95 states/eV/f.u.

Structure (extended XYZ):
```
6
Lattice="-3.9922 -3.7070 2.1795 -5.6105 1.6597 0.4448 -4.0470 -2.3619 -3.5317" Properties=species:S:1:pos:R:3 pbc="T T T"
W 0.0000 0.0000 0.0000
In -7.1435 -2.8371 -2.1132
In -7.9286 -0.8177 -0.1164
In -7.1160 -3.5126 0.7546
Sr -10.2372 -3.3069 -0.6805
In -5.1113 -1.6511 -0.3398
```

4.
First-principles (PBE-GGA) data for SrInW2 after structural relaxation, as listed in Alexandria via LeMat-Bulk.

Summary:
The value obtained for the calculated formation energy is 1.0234 eV/atom. As for the space-group type: P4/mmm (123). For the total DFT energy (no corrections), the calculation gives -6.56 eV per atom. Its magnetic moment is 0.00 Bohr magnetons per cell. The value obtained for the density of states at the Fermi level is 1.70 states/eV/f.u.

Structure (extended XYZ):
```
4
Lattice="-2.1349 1.7139 0.8349 -1.7984 -2.2264 -0.0284 2.2286 -1.9234 9.6468" Properties=species:S:1:pos:R:3 pbc="T T T"
In -1.4095 -0.7371 2.8149
Sr -0.2952 -1.6988 7.6383
W 0.0595 -0.0513 0.2574
W 1.0548 -0.9104 4.5660
```

Among the records above, which one has the highest total DFT energy (no corrections)? SrIn4W

Which value of magnetic moment does entry 2 give? 1.05 Bohr magnetons per cell

Which of these has the lowest calculated formation energy? SrIn4W

Among the records above, which one has the highest magnetic moment? Sr2InW